Entry 1:
This record from the Alexandria database describes a relaxed Cr2Pt2N crystal. The functional is PBE-GGA.

```
Cr2Pt2N
1.0
5.1587 0.0000 0.0000
0.0000 5.1587 0.0000
0.0000 0.0000 4.7746
Cr Pt N
4 4 2
direct
0.1700 0.3300 0.0000
0.3300 0.8300 0.0000
0.6700 0.1700 0.0000
0.8300 0.6700 0.0000
0.1790 0.6790 0.5000
0.3210 0.1790 0.5000
0.6790 0.8210 0.5000
0.8210 0.3210 0.5000
0.0000 0.0000 0.0000
0.5000 0.5000 0.0000
```

Results
* density: 13.28 Mg/m³
* relative energy among the computed polymorphs: 0 meV/atom
* formation energy (no corrections): -0.0822 eV/atom
* calculated volume: 12.71 Å³ per atom
* total magnetic moment: 3.4 μB/cell



Entry 2:
This record from the Alexandria database describes a relaxed Cr2Pt2N crystal. The functional is PBE-GGA.

```
Cr2Pt2N
1.0
-1.7832 1.7832 5.7923
1.7832 -1.7832 5.7923
1.7832 1.7832 -5.7923
Cr Pt N
2 2 1
direct
0.0820 0.0820 0.0000
0.9180 0.9180 0.0000
0.2500 0.7500 0.5000
0.7500 0.2500 0.5000
0.5000 0.5000 0.0000
```

Results
* density: 11.45 Mg/m³
* relative energy among the computed polymorphs: 1196 meV/atom
* formation energy (no corrections): 1.1135 eV/atom
* calculated volume: 14.73 Å³ per atom
* total magnetic moment: 0.0 μB/cell



Entry 3:
This record from the Alexandria database describes a relaxed Cr2PtRhN crystal. The functional is PBE-GGA.

```
Cr2PtRhN
1.0
3.8820 0.0000 0.0000
0.0000 3.8820 0.0000
0.0000 0.0000 4.0571
Cr Pt Rh N
2 1 1 1
direct
0.0000 0.5000 0.0000
0.5000 0.0000 0.0000
0.0000 0.0000 0.5000
0.5000 0.5000 0.5000
0.5000 0.5000 0.0000
```

Results
* density: 11.30 Mg/m³
* formation energy (no corrections): -0.1603 eV/atom
* calculated volume: 12.23 Å³ per atom
* total magnetic moment: 2.7 μB/cell